[1]
{"formula": "NaZn2TcH8", "functional": "PBE", "state": "relaxed", "magnetic_moment_mub_per_fu": 0.0, "final_energy_ev_per_atom": -3.41, "density_g_cm3": 3.90, "lattice_angstrom": [[3.2215, 0.6828, -0.0074], [0.6861, 4.6982, -0.3331], [0.1043, -0.4156, 7.5779]], "species": ["Na", "Zn", "Zn", "Tc", "H", "H", "H", "H", "H", "H", "H", "H"], "frac_coords": [[0.0000, 0.0000, 0.5000], [0.3037, 0.3929, 0.8204], [0.6963, 0.6071, 0.1796], [0.0000, 0.0000, 0.0000], [0.1246, 0.7507, 0.1596], [0.5621, 0.8758, 0.8981], [0.8898, 0.2206, 0.2071], [0.8754, 0.2493, 0.8404], [0.4379, 0.1242, 0.1019], [0.1102, 0.7794, 0.7929], [0.6536, 0.6927, 0.3970], [0.3464, 0.3073, 0.6030]]}



[2]
{"formula": "Ca3ReTe", "functional": "PBE", "state": "relaxed", "formation_energy_uncorrected_mev_per_atom": 278.1, "relative_energy_ev_per_fu": 0.00, "magnetic_moment_mub_per_fu": 0.1, "final_energy_ev_per_atom": -4.04, "density_g_cm3": 4.56, "lattice_angstrom": [[5.4084, 0.0000, 0.0000], [0.0000, 5.4084, 0.0000], [0.0000, 0.0000, 5.4084]], "species": ["Re", "Ca", "Ca", "Ca", "Te"], "frac_coords": [[0.0000, 0.0000, 0.0000], [0.0000, 0.5000, 0.0000], [0.0000, 0.0000, 0.5000], [0.5000, 0.0000, 0.0000], [0.5000, 0.5000, 0.5000]]}



[3]
{"formula": "TcPbW2", "functional": "PBE", "state": "relaxed", "magnetic_moment_mub_per_fu": 0.0, "formation_energy_ev_per_atom": 0.655, "final_energy_ev_per_atom": -9.34, "density_g_cm3": 15.59, "lattice_angstrom": [[2.9859, 0.0000, 0.0000], [0.0000, 2.9859, 0.0000], [0.0000, 0.0000, 8.0400]], "species": ["Pb", "Tc", "W", "W"], "frac_coords": [[0.5000, 0.5000, 0.2500], [0.5000, 0.5000, 0.7500], [0.0000, 0.0000, 0.9627], [0.0000, 0.0000, 0.5373]]}



[4]
{"formula": "Sm2Zn6Ru", "functional": "PBE", "state": "relaxed", "magnetic_moment_mub_per_fu": 0.0, "formation_energy_ev_per_atom": -0.295, "final_energy_ev_per_atom": -3.22, "density_g_cm3": 7.93, "lattice_angstrom": [[5.9576, 0.0000, 0.0000], [-2.9788, 4.7770, 0.6498], [0.0000, -0.3885, 5.7903]], "species": ["Sm", "Sm", "Zn", "Zn", "Zn", "Zn", "Zn", "Zn", "Ru"], "frac_coords": [[0.6738, 0.3477, 0.1490], [0.3262, 0.6523, 0.8510], [0.8165, 0.1823, 0.6698], [0.8383, 0.6765, 0.6661], [0.3659, 0.1823, 0.6698], [0.1835, 0.8177, 0.3302], [0.1617, 0.3235, 0.3339], [0.6341, 0.8177, 0.3302], [0.0000, 0.0000, 0.0000]]}



What did the first record say?
{"formula": "NaZn2TcH8", "functional": "PBE", "state": "relaxed", "magnetic_moment_mub_per_fu": 0.0, "final_energy_ev_per_atom": -3.41, "density_g_cm3": 3.90, "lattice_angstrom": [[3.2215, 0.6828, -0.0074], [0.6861, 4.6982, -0.3331], [0.1043, -0.4156, 7.5779]], "species": ["Na", "Zn", "Zn", "Tc", "H", "H", "H", "H", "H", "H", "H", "H"], "frac_coords": [[0.0000, 0.0000, 0.5000], [0.3037, 0.3929, 0.8204], [0.6963, 0.6071, 0.1796], [0.0000, 0.0000, 0.0000], [0.1246, 0.7507, 0.1596], [0.5621, 0.8758, 0.8981], [0.8898, 0.2206, 0.2071], [0.8754, 0.2493, 0.8404], [0.4379, 0.1242, 0.1019], [0.1102, 0.7794, 0.7929], [0.6536, 0.6927, 0.3970], [0.3464, 0.3073, 0.6030]]}



Which formula does entry 3 have? TcPbW2